Compound: MgCuSbOs
Source: OQMD via LeMat-Bulk
Functional: PBE
Structure: relaxed

abc: 4.518 4.518 4.518
angles: 60.00 60.00 60.00
Positions (direct):
Mg 0.000 0.000 0.000
Cu 0.750 0.750 0.750
Sb 0.500 0.500 0.500
Os 0.250 0.250 0.250

Results
Space-group type: No. 216
E above lowest polymorph (meV/atom): 0
Magnetization (μB per atom): 0.000



Compound: MgCuSiOs
Source: OQMD via LeMat-Bulk
Functional: PBE
Structure: relaxed

abc: 4.245 4.245 4.245
angles: 60.00 60.00 60.00
Positions (direct):
Mg 0.000 0.000 0.000
Cu 0.750 0.750 0.750
Si 0.500 0.500 0.500
Os 0.250 0.250 0.250

Results
Space-group type: No. 216
E above lowest polymorph (meV/atom): 0
Magnetization (μB per atom): 0.000



Compound: MgCuSnOs
Source: OQMD via LeMat-Bulk
Functional: PBE
Structure: relaxed

abc: 4.503 4.503 4.503
angles: 60.00 60.00 60.00
Positions (direct):
Mg 0.000 0.000 0.000
Cu 0.750 0.750 0.750
Sn 0.500 0.500 0.500
Os 0.250 0.250 0.250

Results
Space-group type: No. 216
E above lowest polymorph (meV/atom): 0
Magnetization (μB per atom): 0.000



Compound: MgTlCuOs
Source: OQMD via LeMat-Bulk
Functional: PBE
Structure: relaxed

abc: 4.559 4.559 4.559
angles: 60.00 60.00 60.00
Positions (direct):
Mg 0.000 0.000 0.000
Tl 0.500 0.500 0.500
Cu 0.750 0.750 0.750
Os 0.250 0.250 0.250

Results
Space-group type: No. 216
E above lowest polymorph (meV/atom): 0
Magnetization (μB per atom): 0.000



Compound: MgCuSi2P4
Source: OQMD via LeMat-Bulk
Functional: PBE
Structure: relaxed

abc: 6.400 6.400 6.400
angles: 128.51 128.51 75.81
Positions (direct):
Mg 0.000 0.000 0.000
Cu 0.250 0.750 0.500
Si 0.500 0.500 0.000
Si 0.750 0.250 0.500
P 0.132 0.593 0.992
P 0.407 0.399 0.539
P 0.601 0.139 0.008
P 0.861 0.868 0.461

Results
Space-group type: No. 82
Final energy (eV/atom): -4.95



Compound: Mg3Zn2Cu2P4
Source: OQMD via LeMat-Bulk
Functional: PBE
Structure: relaxed

abc: 3.933 3.933 13.538
angles: 90.00 90.00 120.00
Positions (direct):
Mg 0.000 0.000 0.000
Mg 0.000 0.000 0.259
Mg 0.000 0.000 0.741
Zn 0.333 0.667 0.564
Zn 0.667 0.333 0.436
Cu 0.333 0.667 0.135
Cu 0.667 0.333 0.865
P 0.333 0.667 0.375
P 0.333 0.667 0.871
P 0.667 0.333 0.129
P 0.667 0.333 0.625

Results
Space-group type: No. 164
Final energy (eV/atom): -3.67



Compound: MgPaCu
Source: OQMD via LeMat-Bulk
Functional: PBE
Structure: relaxed

abc: 4.571 4.571 4.571
angles: 60.00 60.00 60.00
Positions (direct):
Mg 0.000 0.000 0.000
Pa 0.500 0.500 0.500
Cu 0.250 0.250 0.250

Results
Space-group type: No. 216
E above lowest polymorph (meV/atom): 0
Magnetization (μB per atom): 0.008



Compound: MgPaCu
Source: OQMD via LeMat-Bulk
Functional: PBE
Structure: relaxed

abc: 4.763 4.763 4.763
angles: 60.00 60.00 60.00
Positions (direct):
Mg 0.000 0.000 0.000
Pa 0.750 0.750 0.750
Cu 0.500 0.500 0.500

Results
Space-group type: No. 216
E above lowest polymorph (meV/atom): 750
Magnetization (μB per atom): 0.446



Compound: MgCu2Pb
Source: OQMD via LeMat-Bulk
Functional: PBE
Structure: relaxed

abc: 6.570 6.570 6.570
angles: 90.00 90.00 90.00
Positions (direct):
Mg 0.000 0.000 0.000
Mg 0.000 0.000 0.500
Mg 0.000 0.500 0.000
Mg 0.500 0.000 0.000
Cu 0.226 0.226 0.226
Cu 0.226 0.226 0.774
Cu 0.226 0.774 0.226
Cu 0.226 0.774 0.774
Cu 0.774 0.226 0.226
Cu 0.774 0.226 0.774
Cu 0.774 0.774 0.226
Cu 0.774 0.774 0.774
Pb 0.000 0.500 0.500
Pb 0.500 0.000 0.500
Pb 0.500 0.500 0.000
Pb 0.500 0.500 0.500

Results
Space-group type: No. 221
Final energy (eV/atom): -3.07



Compound: MgCu2Pb
Source: OQMD via LeMat-Bulk
Functional: PBE
Structure: relaxed

abc: 6.570 6.570 6.570
angles: 90.00 90.00 90.00
Positions (direct):
Mg 0.000 0.000 0.000
Mg 0.000 0.000 0.500
Mg 0.000 0.500 0.000
Mg 0.500 0.000 0.000
Cu 0.226 0.226 0.226
Cu 0.226 0.226 0.774
Cu 0.226 0.774 0.226
Cu 0.226 0.774 0.774
Cu 0.774 0.226 0.226
Cu 0.774 0.226 0.774
Cu 0.774 0.774 0.226
Cu 0.774 0.774 0.774
Pb 0.000 0.500 0.500
Pb 0.500 0.000 0.500
Pb 0.500 0.500 0.000
Pb 0.500 0.500 0.500

Results
Space-group type: No. 221
Final energy (eV/atom): -3.07



Compound: MgCuPdPb
Source: OQMD via LeMat-Bulk
Functional: PBE
Structure: relaxed

abc: 4.664 4.664 4.664
angles: 60.00 60.00 60.00
Positions (direct):
Mg 0.000 0.000 0.000
Cu 0.750 0.750 0.750
Pd 0.250 0.250 0.250
Pb 0.500 0.500 0.500

Results
Space-group type: No. 216
E above lowest polymorph (meV/atom): 0



Compound: MgCuPtPb
Source: OQMD via LeMat-Bulk
Functional: PBE
Structure: relaxed

abc: 4.687 4.687 4.687
angles: 60.00 60.00 60.00
Positions (direct):
Mg 0.000 0.000 0.000
Cu 0.750 0.750 0.750
Pt 0.250 0.250 0.250
Pb 0.500 0.500 0.500

Results
Space-group type: No. 216
E above lowest polymorph (meV/atom): 0
Magnetization (μB per atom): 0.000



Compound: MgTaCuPb
Source: OQMD via LeMat-Bulk
Functional: PBE
Structure: relaxed

abc: 4.795 4.795 4.795
angles: 60.00 60.00 60.00
Positions (direct):
Mg 0.000 0.000 0.000
Ta 0.250 0.250 0.250
Cu 0.750 0.750 0.750
Pb 0.500 0.500 0.500

Results
Space-group type: No. 216
E above lowest polymorph (meV/atom): 0
Magnetization (μB per atom): 0.343



Compound: MgTaCuPb
Source: OQMD via LeMat-Bulk
Functional: PBE
Structure: relaxed

abc: 4.776 4.776 4.776
angles: 60.00 60.00 60.00
Positions (direct):
Mg 0.000 0.000 0.000
Ta 0.750 0.750 0.750
Cu 0.500 0.500 0.500
Pb 0.250 0.250 0.250

Results
Space-group type: No. 216
E above lowest polymorph (meV/atom): 35
Magnetization (μB per atom): 0.393



Compound: MgCuTcPb
Source: OQMD via LeMat-Bulk
Functional: PBE
Structure: relaxed

abc: 4.607 4.607 4.607
angles: 60.00 60.00 60.00
Positions (direct):
Mg 0.000 0.000 0.000
Cu 0.750 0.750 0.750
Tc 0.250 0.250 0.250
Pb 0.500 0.500 0.500

Results
Space-group type: No. 216
E above lowest polymorph (meV/atom): 0
Magnetization (μB per atom): 0.000



Compound: MgZnCuPb
Source: OQMD via LeMat-Bulk
Functional: PBE
Structure: relaxed

abc: 4.776 4.776 4.776
angles: 60.00 60.00 60.00
Positions (direct):
Mg 0.000 0.000 0.000
Zn 0.750 0.750 0.750
Cu 0.500 0.500 0.500
Pb 0.250 0.250 0.250

Results
Space-group type: No. 216
E above lowest polymorph (meV/atom): 16



Compound: MgZnCuPb
Source: OQMD via LeMat-Bulk
Functional: PBE
Structure: relaxed

abc: 4.802 4.802 4.802
angles: 60.00 60.00 60.00
Positions (direct):
Mg 0.000 0.000 0.000
Zn 0.250 0.250 0.250
Cu 0.750 0.750 0.750
Pb 0.500 0.500 0.500

Results
Space-group type: No. 216
E above lowest polymorph (meV/atom): 0



Compound: Mg2CuPd
Source: OQMD via LeMat-Bulk
Functional: PBE
Structure: relaxed

abc: 4.476 4.476 4.476
angles: 60.00 60.00 60.00
Positions (direct):
Mg 0.000 0.000 0.000
Mg 0.250 0.250 0.250
Cu 0.750 0.750 0.750
Pd 0.500 0.500 0.500

Results
Space-group type: No. 216
Final energy (eV/atom): -3.30



Compound: Mg2Cu2Pd3
Source: OQMD via LeMat-Bulk
Functional: PBE
Structure: relaxed

abc: 6.842 6.842 6.842
angles: 37.56 37.56 37.56
Positions (direct):
Mg 0.000 0.000 0.000
Mg 0.447 0.447 0.447
Cu 0.275 0.275 0.275
Cu 0.729 0.729 0.729
Pd 0.136 0.136 0.136
Pd 0.594 0.594 0.594
Pd 0.864 0.864 0.864

Results
Space-group type: No. 160
Final energy (eV/atom): -4.07



Compound: Y3Mg3CuPdPt
Source: OQMD via LeMat-Bulk
Functional: PBE
Structure: relaxed

abc: 7.515 7.515 3.970
angles: 90.00 90.00 120.00
Positions (direct):
Y 0.005 0.588 0.000
Y 0.412 0.417 0.000
Y 0.583 0.995 0.000
Mg 0.000 0.244 0.500
Mg 0.244 0.000 0.500
Mg 0.756 0.756 0.500
Cu 0.000 0.000 0.000
Pd 0.667 0.333 0.500
Pt 0.333 0.667 0.500

Results
Space-group type: No. 174
Final energy (eV/atom): -4.97
Magnetization (μB per atom): 0.000